No. 1
ScBiO3 | PBE-GGA | relaxed Values from VASP.

Calculated volume   15.90 A^3/atom
E_form (uncorrected)   -0.969 eV/atom
Magnetization   0.16 μB per atom
Theoretical density   6.3 Mg/m³

```
&SYSTEM
  ibrav = 0, nat = 5, ntyp = 3
/
ATOMIC_SPECIES
Sc 44.96 Sc.upf
Bi 208.98 Bi.upf
O 16.00 O.upf
ATOMIC_POSITIONS crystal
Sc 0.0000 0.0000 0.0000
Bi 0.5000 0.5000 0.5000
O 0.0000 0.5000 0.5000
O 0.5000 0.0000 0.5000
O 0.5000 0.5000 0.0000
CELL_PARAMETERS angstrom
4.2997 0.0000 0.0000
0.0000 4.2997 0.0000
0.0000 0.0000 4.2997
```

---

No. 2
Sc6BiO12 | PBE-GGA | relaxed Values from VASP.

Calculated volume   12.17 A^3/atom
E_form (uncorrected)   -2.887 eV/atom
Magnetization   0.00 μB per atom
Theoretical density   4.8 Mg/m³

```
&SYSTEM
  ibrav = 0, nat = 19, ntyp = 3
/
ATOMIC_SPECIES
Sc 44.96 Sc.upf
Bi 208.98 Bi.upf
O 16.00 O.upf
ATOMIC_POSITIONS crystal
Sc 0.1050 0.6442 0.8287
Sc 0.1713 0.8950 0.3558
Sc 0.3558 0.1713 0.8950
Sc 0.6442 0.8287 0.1050
Sc 0.8287 0.1050 0.6442
Sc 0.8950 0.3558 0.1713
Bi 0.5000 0.5000 0.5000
O 0.0795 0.9162 0.6805
O 0.0838 0.3195 0.9205
O 0.1762 0.5590 0.4000
O 0.3195 0.9205 0.0838
O 0.4000 0.1762 0.5590
O 0.4410 0.6001 0.8238
O 0.5590 0.4000 0.1762
O 0.6001 0.8238 0.4410
O 0.6805 0.0795 0.9162
O 0.8238 0.4410 0.6000
O 0.9162 0.6805 0.0795
O 0.9205 0.0838 0.3195
CELL_PARAMETERS angstrom
4.7550 2.7453 2.9520
-4.7550 2.7453 2.9520
0.0000 -5.4906 2.9520
```

---

No. 3
ScBi2O6 | PBE-GGA | relaxed Values from VASP.

Calculated volume   13.99 A^3/atom
E_form (uncorrected)   -1.585 eV/atom
Magnetization   0.00 μB per atom
Theoretical density   7.4 Mg/m³

```
&SYSTEM
  ibrav = 0, nat = 27, ntyp = 3
/
ATOMIC_SPECIES
Sc 44.96 Sc.upf
Bi 208.98 Bi.upf
O 16.00 O.upf
ATOMIC_POSITIONS crystal
Sc 0.0000 0.0000 0.0000
Sc 0.3333 0.6667 0.4966
Sc 0.6667 0.3333 0.5034
Bi 0.0000 0.3659 0.0000
Bi 0.0000 0.7007 0.5000
Bi 0.2993 0.2993 0.5000
Bi 0.3659 0.0000 0.0000
Bi 0.6341 0.6341 0.0000
Bi 0.7007 0.0000 0.5000
O 0.0931 0.2155 0.2339
O 0.1167 0.5870 0.2689
O 0.1224 0.9069 0.2339
O 0.2155 0.0931 0.7661
O 0.2224 0.4460 0.7269
O 0.2236 0.7776 0.7269
O 0.4130 0.5297 0.2689
O 0.4460 0.2224 0.2731
O 0.4703 0.8833 0.2689
O 0.5297 0.4130 0.7311
O 0.5540 0.7764 0.7269
O 0.5870 0.1167 0.7311
O 0.7764 0.5540 0.2731
O 0.7776 0.2236 0.2731
O 0.7845 0.8776 0.2339
O 0.8776 0.7845 0.7661
O 0.8833 0.4703 0.7311
O 0.9069 0.1224 0.7661
CELL_PARAMETERS angstrom
9.4036 0.0000 0.0000
-4.7018 8.1438 0.0000
0.0000 0.0000 4.9338
```

---

No. 4
Sc3Bi2O | PBE-GGA | relaxed Values from VASP.

Calculated volume   22.03 A^3/atom
E_form (uncorrected)   -1.294 eV/atom
Magnetization   0.00 μB per atom
Theoretical density   7.1 Mg/m³

```
&SYSTEM
  ibrav = 0, nat = 12, ntyp = 3
/
ATOMIC_SPECIES
Sc 44.96 Sc.upf
Bi 208.98 Bi.upf
O 16.00 O.upf
ATOMIC_POSITIONS crystal
Sc 0.1605 0.8395 0.7500
Sc 0.3608 0.3608 0.0000
Sc 0.3608 0.3608 0.5000
Sc 0.6392 0.6392 0.0000
Sc 0.6392 0.6392 0.5000
Sc 0.8395 0.1605 0.2500
Bi 0.0171 0.6749 0.2500
Bi 0.3251 0.9829 0.2500
Bi 0.6749 0.0171 0.7500
Bi 0.9829 0.3251 0.7500
O 0.4311 0.5689 0.7500
O 0.5689 0.4311 0.2500
CELL_PARAMETERS angstrom
5.5710 -4.0205 0.0000
5.5710 4.0205 0.0000
0.0000 0.0000 5.9013
```

---

No. 5
Sc3Bi2O2 | PBE-GGA | relaxed Values from VASP.

Calculated volume   19.40 A^3/atom
E_form (uncorrected)   -1.789 eV/atom
Magnetization   0.00 μB per atom
Theoretical density   7.2 Mg/m³

```
&SYSTEM
  ibrav = 0, nat = 7, ntyp = 3
/
ATOMIC_SPECIES
Sc 44.96 Sc.upf
Bi 208.98 Bi.upf
O 16.00 O.upf
ATOMIC_POSITIONS crystal
Sc 0.0000 0.0000 0.0000
Sc 0.2100 0.4200 0.8142
Sc 0.7900 0.5800 0.1858
Bi 0.1097 0.2165 0.3760
Bi 0.8903 0.7835 0.6240
O 0.3631 0.7260 0.0445
O 0.6369 0.2740 0.9555
CELL_PARAMETERS angstrom
3.2636 0.0000 0.0000
-1.6230 5.3766 0.0000
-0.0194 -1.8164 7.7386
```

---

No. 6
Sc2BiO | PBE-GGA | relaxed Values from VASP.

Calculated volume   21.92 A^3/atom
E_form (uncorrected)   -1.545 eV/atom
Magnetization   0.00 μB per atom
Theoretical density   6.0 Mg/m³

```
&SYSTEM
  ibrav = 0, nat = 4, ntyp = 3
/
ATOMIC_SPECIES
Sc 44.96 Sc.upf
Bi 208.98 Bi.upf
O 16.00 O.upf
ATOMIC_POSITIONS crystal
Sc 0.0000 0.0000 0.0000
Sc 0.5665 0.5665 0.6997
Bi 0.4346 0.4346 0.3050
O 0.9023 0.9023 0.7083
CELL_PARAMETERS angstrom
3.0526 -1.7578 0.0000
3.0526 1.7578 0.0000
-2.0461 0.0000 8.1687
```

---

No. 7
Sc2BiO | PBE-GGA | relaxed Values from VASP.

Calculated volume   19.58 A^3/atom
E_form (uncorrected)   -0.718 eV/atom
Magnetization   0.25 μB per atom
Theoretical density   6.7 Mg/m³

```
&SYSTEM
  ibrav = 0, nat = 4, ntyp = 3
/
ATOMIC_SPECIES
Sc 44.96 Sc.upf
Bi 208.98 Bi.upf
O 16.00 O.upf
ATOMIC_POSITIONS crystal
Sc 0.2500 0.2500 0.2500
Sc 0.7500 0.7500 0.7500
Bi 0.0000 0.0000 0.0000
O 0.5000 0.5000 0.5000
CELL_PARAMETERS angstrom
0.0000 3.3960 3.3960
3.3960 0.0000 3.3960
3.3960 3.3960 0.0000
```

---

No. 8
ScBiO3 | PBE-GGA | relaxed Values from VASP.

Calculated volume   14.06 A^3/atom
E_form (uncorrected)   -2.366 eV/atom
Magnetization   0.00 μB per atom
Theoretical density   7.1 Mg/m³

```
&SYSTEM
  ibrav = 0, nat = 10, ntyp = 3
/
ATOMIC_SPECIES
Sc 44.96 Sc.upf
Bi 208.98 Bi.upf
O 16.00 O.upf
ATOMIC_POSITIONS crystal
Sc 0.0000 0.0000 0.0000
Sc 0.5000 0.5000 0.5000
Bi 0.2840 0.2840 0.2840
Bi 0.7840 0.7840 0.7840
O 0.1553 0.3290 0.7072
O 0.2072 0.8290 0.6553
O 0.3290 0.7072 0.1553
O 0.6553 0.2072 0.8290
O 0.7072 0.1553 0.3290
O 0.8290 0.6553 0.2072
CELL_PARAMETERS angstrom
2.8876 1.6671 4.8672
-2.8876 1.6671 4.8672
0.0000 -3.3343 4.8672
```

---

No. 9
SmScBi2O6 | PBE-GGA | relaxed Values from VASP.

Calculated volume   15.46 A^3/atom
E_form (uncorrected)   -2.313 eV/atom
Magnetization   0.00 μB per atom
Theoretical density   7.6 Mg/m³

```
&SYSTEM
  ibrav = 0, nat = 10, ntyp = 4
/
ATOMIC_SPECIES
Sm 150.36 Sm.upf
Sc 44.96 Sc.upf
Bi 208.98 Bi.upf
O 16.00 O.upf
ATOMIC_POSITIONS crystal
Sm 0.0000 0.0000 0.0000
Sc 0.4934 0.4934 0.4934
Bi 0.2817 0.2817 0.2817
Bi 0.7827 0.7827 0.7827
O 0.1365 0.6729 0.3639
O 0.2026 0.6281 0.8294
O 0.3639 0.1365 0.6729
O 0.6281 0.8294 0.2026
O 0.6729 0.3639 0.1365
O 0.8294 0.2026 0.6281
CELL_PARAMETERS angstrom
2.9802 1.7206 5.0236
-2.9802 1.7206 5.0236
0.0000 -3.4412 5.0236
```

---

No. 10
ScSnBi2O6 | PBE-GGA | relaxed Values from VASP.

Calculated volume   14.74 A^3/atom
E_form (uncorrected)   -1.737 eV/atom
Magnetization   0.08 μB per atom
Theoretical density   7.6 Mg/m³

```
&SYSTEM
  ibrav = 0, nat = 10, ntyp = 4
/
ATOMIC_SPECIES
Sc 44.96 Sc.upf
Sn 118.71 Sn.upf
Bi 208.98 Bi.upf
O 16.00 O.upf
ATOMIC_POSITIONS crystal
Sc 0.0000 0.0000 0.0000
Sn 0.5039 0.5039 0.5039
Bi 0.2820 0.2820 0.2820
Bi 0.7801 0.7801 0.7801
O 0.1524 0.7059 0.3280
O 0.1808 0.6461 0.8563
O 0.3280 0.1524 0.7059
O 0.6461 0.8563 0.1808
O 0.7059 0.3280 0.1524
O 0.8563 0.1808 0.6461
CELL_PARAMETERS angstrom
2.9638 1.7111 4.8427
-2.9638 1.7111 4.8427
0.0000 -3.4223 4.8427
```

---

No. 11
Sc4SnBiO | PBE-GGA | relaxed Values from VASP.

Calculated volume   20.88 A^3/atom
E_form (uncorrected)   -1.259 eV/atom
Magnetization   0.00 μB per atom
Theoretical density   5.9 Mg/m³

```
&SYSTEM
  ibrav = 0, nat = 14, ntyp = 4
/
ATOMIC_SPECIES
Sc 44.96 Sc.upf
Sn 118.71 Sn.upf
Bi 208.98 Bi.upf
O 16.00 O.upf
ATOMIC_POSITIONS crystal
Sc 0.0000 0.5000 0.0000
Sc 0.0000 0.5000 0.5000
Sc 0.0779 0.9221 0.7500
Sc 0.4147 0.5853 0.7500
Sc 0.5000 0.0000 0.0000
Sc 0.5000 0.0000 0.5000
Sc 0.5853 0.4147 0.2500
Sc 0.9221 0.0779 0.2500
Sn 0.1097 0.8903 0.2500
Sn 0.8903 0.1097 0.7500
Bi 0.3945 0.6055 0.2500
Bi 0.6055 0.3945 0.7500
O 0.2529 0.7471 0.7500
O 0.7471 0.2529 0.2500
CELL_PARAMETERS angstrom
3.0409 -7.9061 0.0000
3.0409 7.9061 0.0000
0.0000 0.0000 6.0809
```

---

No. 12
SrSc2Bi2O7 | PBE-GGA | relaxed Values from VASP.

Calculated volume   15.32 A^3/atom
E_form (uncorrected)   -2.342 eV/atom
Magnetization   0.00 μB per atom
Theoretical density   6.4 Mg/m³

```
&SYSTEM
  ibrav = 0, nat = 12, ntyp = 4
/
ATOMIC_SPECIES
Sr 87.62 Sr.upf
Sc 44.96 Sc.upf
Bi 208.98 Bi.upf
O 16.00 O.upf
ATOMIC_POSITIONS crystal
Sr 0.0000 0.0000 0.0000
Sc 0.3452 0.9467 0.3985
Sc 0.5483 0.9467 0.6015
Bi 0.1679 0.4714 0.6965
Bi 0.7748 0.4714 0.3035
O 0.1410 0.2672 0.8739
O 0.3282 0.8282 0.5000
O 0.3435 0.0658 0.2777
O 0.3933 0.2672 0.1261
O 0.7161 0.3024 0.4136
O 0.7881 0.0658 0.7223
O 0.8888 0.3024 0.5864
CELL_PARAMETERS angstrom
-1.7890 9.2604 2.7748
1.7890 -9.2604 2.7748
1.7890 9.2604 -2.7748
```

---

No. 13
Sr2ScBiO | PBE-GGA | relaxed Values from VASP.

Calculated volume   26.15 A^3/atom
E_form (uncorrected)   -1.374 eV/atom
Magnetization   0.25 μB per atom
Theoretical density   5.7 Mg/m³

```
&SYSTEM
  ibrav = 0, nat = 5, ntyp = 4
/
ATOMIC_SPECIES
Sr 87.62 Sr.upf
Sc 44.96 Sc.upf
Bi 208.98 Bi.upf
O 16.00 O.upf
ATOMIC_POSITIONS crystal
Sr 0.0000 0.5000 0.0000
Sr 0.5000 0.0000 0.0000
Sc 0.0000 0.0000 0.5000
Bi 0.5000 0.5000 0.5000
O 0.0000 0.0000 0.0000
CELL_PARAMETERS angstrom
5.4997 0.0000 0.0000
0.0000 5.4997 0.0000
0.0000 0.0000 4.3236
```

---

No. 14
SrScBi2O6 | PBE-GGA | relaxed Values from VASP.

Calculated volume   15.66 A^3/atom
E_form (uncorrected)   -2.036 eV/atom
Magnetization   0.05 μB per atom
Theoretical density   6.9 Mg/m³

```
&SYSTEM
  ibrav = 0, nat = 10, ntyp = 4
/
ATOMIC_SPECIES
Sr 87.62 Sr.upf
Sc 44.96 Sc.upf
Bi 208.98 Bi.upf
O 16.00 O.upf
ATOMIC_POSITIONS crystal
Sr 0.0000 0.0000 0.0000
Sc 0.5168 0.5168 0.5168
Bi 0.2173 0.2173 0.2173
Bi 0.7267 0.7267 0.7267
O 0.1557 0.4163 0.7995
O 0.3608 0.9047 0.5782
O 0.4163 0.7995 0.1557
O 0.5782 0.3608 0.9047
O 0.7995 0.1557 0.4163
O 0.9047 0.5782 0.3608
CELL_PARAMETERS angstrom
2.9430 1.6992 5.2178
-2.9430 1.6992 5.2178
0.0000 -3.3983 5.2178
```

---

No. 15
Sc2TaBiO8 | PBE-GGA | relaxed Values from VASP.

Calculated volume   12.81 A^3/atom
E_form (uncorrected)   -2.521 eV/atom
Magnetization   0.00 μB per atom
Theoretical density   6.6 Mg/m³

```
&SYSTEM
  ibrav = 0, nat = 12, ntyp = 4
/
ATOMIC_SPECIES
Sc 44.96 Sc.upf
Ta 180.95 Ta.upf
Bi 208.98 Bi.upf
O 16.00 O.upf
ATOMIC_POSITIONS crystal
Sc 0.0000 0.0000 0.2405
Sc 0.0000 0.0000 0.7595
Ta 0.5000 0.5000 0.0000
Bi 0.5000 0.5000 0.5000
O 0.1914 0.1914 0.5000
O 0.2046 0.2046 0.0000
O 0.3084 0.6916 0.2336
O 0.3084 0.6916 0.7664
O 0.6916 0.3084 0.2336
O 0.6916 0.3084 0.7664
O 0.7954 0.7954 0.0000
O 0.8086 0.8086 0.5000
CELL_PARAMETERS angstrom
3.3739 -3.4941 0.0000
3.3739 3.4941 0.0000
0.0000 0.0000 6.5175
```

---

No. 16
Tb2ScBi2O2 | PBE-GGA | relaxed Values from VASP.

Calculated volume   20.64 A^3/atom
E_form (uncorrected)   -1.884 eV/atom
Magnetization   0.00 μB per atom
Theoretical density   9.3 Mg/m³

```
&SYSTEM
  ibrav = 0, nat = 7, ntyp = 4
/
ATOMIC_SPECIES
Tb 158.93 Tb.upf
Sc 44.96 Sc.upf
Bi 208.98 Bi.upf
O 16.00 O.upf
ATOMIC_POSITIONS crystal
Tb 0.1052 0.1052 0.0000
Tb 0.8948 0.8948 0.0000
Sc 0.5000 0.5000 0.0000
Bi 0.3123 0.3123 0.0000
Bi 0.6877 0.6877 0.0000
O 0.0000 0.5000 0.5000
O 0.5000 0.0000 0.5000
CELL_PARAMETERS angstrom
-2.0793 2.0793 8.3559
2.0793 -2.0793 8.3559
2.0793 2.0793 -8.3559
```

---

No. 17
TbScBiO2 | PBE-GGA | relaxed Values from VASP.

Calculated volume   19.12 A^3/atom
E_form (uncorrected)   -2.583 eV/atom
Magnetization   0.00 μB per atom
Theoretical density   7.7 Mg/m³

```
&SYSTEM
  ibrav = 0, nat = 5, ntyp = 4
/
ATOMIC_SPECIES
Tb 158.93 Tb.upf
Sc 44.96 Sc.upf
Bi 208.98 Bi.upf
O 16.00 O.upf
ATOMIC_POSITIONS crystal
Tb 0.0000 0.0000 0.0000
Sc 0.6584 0.6584 0.0000
Bi 0.3274 0.3274 0.0000
O 0.0901 0.5901 0.5000
O 0.5901 0.0901 0.5000
CELL_PARAMETERS angstrom
-1.8976 1.8976 6.6383
1.8976 -1.8976 6.6383
1.8976 1.8976 -6.6383
```

---

No. 18
TbScBi2O6 | PBE-GGA | relaxed Values from VASP.

Calculated volume   15.15 A^3/atom
E_form (uncorrected)   -2.352 eV/atom
Magnetization   0.00 μB per atom
Theoretical density   7.9 Mg/m³

```
&SYSTEM
  ibrav = 0, nat = 10, ntyp = 4
/
ATOMIC_SPECIES
Tb 158.93 Tb.upf
Sc 44.96 Sc.upf
Bi 208.98 Bi.upf
O 16.00 O.upf
ATOMIC_POSITIONS crystal
Tb 0.0000 0.0000 0.0000
Sc 0.4960 0.4960 0.4960
Bi 0.2838 0.2838 0.2838
Bi 0.7838 0.7838 0.7838
O 0.1424 0.6829 0.3562
O 0.2046 0.6356 0.8302
O 0.3562 0.1424 0.6829
O 0.6356 0.8303 0.2046
O 0.6829 0.3562 0.1424
O 0.8302 0.2046 0.6356
CELL_PARAMETERS angstrom
2.9589 1.7083 4.9943
-2.9589 1.7083 4.9943
0.0000 -3.4167 4.9943
```

---

No. 19
ScTcBi2O8 | PBE-GGA | relaxed Values from VASP.

Calculated volume   14.24 A^3/atom
E_form (uncorrected)   -1.615 eV/atom
Magnetization   0.00 μB per atom
Theoretical density   6.7 Mg/m³

```
&SYSTEM
  ibrav = 0, nat = 12, ntyp = 4
/
ATOMIC_SPECIES
Sc 44.96 Sc.upf
Tc 98.00 Tc.upf
Bi 208.98 Bi.upf
O 16.00 O.upf
ATOMIC_POSITIONS crystal
Sc 0.0000 0.0000 0.0000
Tc 0.0000 0.5000 0.0000
Bi 0.5000 0.2487 0.5000
Bi 0.5000 0.7513 0.5000
O 0.1795 0.2723 0.8246
O 0.1795 0.7277 0.8246
O 0.2545 0.5000 0.2606
O 0.2917 0.0000 0.2948
O 0.7083 0.0000 0.7052
O 0.7455 0.5000 0.7394
O 0.8205 0.2723 0.1754
O 0.8205 0.7277 0.1754
CELL_PARAMETERS angstrom
5.0884 0.0000 0.0000
0.0000 6.5944 0.0000
-0.0090 0.0000 5.0926
```

---

No. 20
ScBiTeO6 | PBE-GGA | relaxed Values from VASP.

Calculated volume   13.91 A^3/atom
E_form (uncorrected)   -1.810 eV/atom
Magnetization   0.00 μB per atom
Theoretical density   6.3 Mg/m³

```
&SYSTEM
  ibrav = 0, nat = 18, ntyp = 4
/
ATOMIC_SPECIES
Sc 44.96 Sc.upf
Bi 208.98 Bi.upf
Te 127.60 Te.upf
O 16.00 O.upf
ATOMIC_POSITIONS crystal
Sc 0.3333 0.6667 0.2500
Sc 0.6667 0.3333 0.7500
Bi 0.0000 0.0000 0.0000
Bi 0.0000 0.0000 0.5000
Te 0.3333 0.6667 0.7500
Te 0.6667 0.3333 0.2500
O 0.0229 0.3767 0.6398
O 0.0229 0.6462 0.8602
O 0.3538 0.3767 0.8602
O 0.3538 0.9771 0.6398
O 0.3767 0.0229 0.1398
O 0.3767 0.3538 0.3602
O 0.6233 0.6462 0.6398
O 0.6233 0.9771 0.8602
O 0.6462 0.0229 0.3602
O 0.6462 0.6233 0.1398
O 0.9771 0.3538 0.1398
O 0.9771 0.6233 0.3602
CELL_PARAMETERS angstrom
5.4118 0.0000 0.0000
-2.7059 4.6867 0.0000
0.0000 0.0000 9.8735
```